Compound: SnB4Ir
Source: OQMD
Functional: PBE
Structure: relaxed

```
SnB4Ir
1.0
4.7807 -0.1075 1.5027
-0.1409 -3.2250 3.8346
-0.4518 0.6050 -4.9553
B Ir Sn
4 1 1
Direct
0.6118 0.2685 0.3434
0.0749 0.7315 0.3434
0.9251 0.2685 0.6566
0.3882 0.7315 0.6566
0.0000 0.0000 0.0000
0.5000 0.5000 0.0000
```

- E_tot: -35.84 eV per cell
- Calculated volume: 10.54 A^3/atom